A geometry-optimized NaPuHgAu structure, computed with PBE.

Energy relative to the lowest polymorph listed for this composition   0 meV/atom
Formation enthalpy at 0 K   -257 meV/atom

```
data_NaPuHgAu
_chemical_formula_sum 'Na1 Pu1 Hg1 Au1'
_cell_length_a 3.421
_cell_length_b 3.421
_cell_length_c 8.313
_cell_angle_alpha 90.00
_cell_angle_beta 90.00
_cell_angle_gamma 90.00
_space_group_name_H-M_alt 'P 1'
_space_group_IT_number 1
loop_
_space_group_symop_operation_xyz
'x,y,z'
loop_
_atom_site_label
_atom_site_fract_x
_atom_site_fract_y
_atom_site_fract_z
Na1 0.000 0.000 0.000
Pu1 0.000 0.000 0.533
Hg1 0.500 0.500 0.264
Au1 0.500 0.500 0.765
```

***

A geometry-optimized SbH2S3 structure, computed with PBE.

Total DFT energy (no corrections)   -23.65 eV/cell

```
data_SbH2S3
_chemical_formula_sum 'Sb1 H2 S3'
_cell_length_a 6.696
_cell_length_b 6.696
_cell_length_c 6.696
_cell_angle_alpha 140.52
_cell_angle_beta 67.96
_cell_angle_gamma 127.12
_space_group_name_H-M_alt 'P 1'
_space_group_IT_number 1
loop_
_space_group_symop_operation_xyz
'x,y,z'
loop_
_atom_site_label
_atom_site_fract_x
_atom_site_fract_y
_atom_site_fract_z
Sb1 0.000 0.000 0.000
H1 0.129 0.883 0.247
H2 0.636 0.883 0.753
S1 0.183 0.683 0.500
S2 0.561 0.721 0.840
S3 0.881 0.721 0.160
```

***

A geometry-optimized Al2InAs structure, computed with PBE.

Energy relative to the lowest polymorph listed for this composition   207 meV/atom
Formation enthalpy at 0 K   183 meV/atom

```
data_Al2InAs
_chemical_formula_sum 'Al2 In1 As1'
_cell_length_a 4.554
_cell_length_b 4.554
_cell_length_c 3.906
_cell_angle_alpha 90.00
_cell_angle_beta 90.00
_cell_angle_gamma 90.00
_space_group_name_H-M_alt 'P 1'
_space_group_IT_number 1
loop_
_space_group_symop_operation_xyz
'x,y,z'
loop_
_atom_site_label
_atom_site_fract_x
_atom_site_fract_y
_atom_site_fract_z
Al1 0.000 0.500 0.000
Al2 0.500 0.000 0.000
In1 0.000 0.000 0.500
As1 0.500 0.500 0.500
```

***

A geometry-optimized BaPrHg4 structure, computed with PBE.

Energy relative to the lowest polymorph listed for this composition   149 meV/atom
Formation enthalpy at 0 K   -283 meV/atom

```
data_BaPrHg4
_chemical_formula_sum 'Ba1 Pr1 Hg4'
_cell_length_a 6.235
_cell_length_b 6.235
_cell_length_c 6.235
_cell_angle_alpha 60.00
_cell_angle_beta 60.00
_cell_angle_gamma 60.00
_space_group_name_H-M_alt 'P 1'
_space_group_IT_number 1
loop_
_space_group_symop_operation_xyz
'x,y,z'
loop_
_atom_site_label
_atom_site_fract_x
_atom_site_fract_y
_atom_site_fract_z
Ba1 0.000 0.000 0.000
Pr1 0.750 0.750 0.750
Hg1 0.376 0.376 0.376
Hg2 0.376 0.376 0.873
Hg3 0.376 0.873 0.376
Hg4 0.873 0.376 0.376
```

***

A geometry-optimized Ac6HRu2Br3 structure, computed with PBE.

Total DFT energy (no corrections)   -61.98 eV/cell

```
data_Ac6HRu2Br3
_chemical_formula_sum 'Ac6 H1 Ru2 Br3'
_cell_length_a 7.349
_cell_length_b 7.349
_cell_length_c 8.705
_cell_angle_alpha 98.11
_cell_angle_beta 98.11
_cell_angle_gamma 120.07
_space_group_name_H-M_alt 'P 1'
_space_group_IT_number 1
loop_
_space_group_symop_operation_xyz
'x,y,z'
loop_
_atom_site_label
_atom_site_fract_x
_atom_site_fract_y
_atom_site_fract_z
Ac1 0.097 0.435 0.806
Ac2 0.227 0.227 0.194
Ac3 0.435 0.097 0.806
Ac4 0.565 0.903 0.194
Ac5 0.773 0.773 0.806
Ac6 0.903 0.565 0.194
H1 0.500 0.500 0.000
Ru1 0.166 0.834 0.000
Ru2 0.834 0.166 0.000
Br1 0.000 0.000 0.500
Br2 0.325 0.675 0.500
Br3 0.675 0.325 0.500
```

***

A geometry-optimized CrGa3Br structure, computed with PBE.

Formation energy without anion corrections   0.85 eV per atom
Energy relative to the lowest polymorph listed for this composition   626 meV/atom

```
data_CrGa3Br
_chemical_formula_sum 'Cr1 Ga3 Br1'
_cell_length_a 5.489
_cell_length_b 5.489
_cell_length_c 5.489
_cell_angle_alpha 90.00
_cell_angle_beta 90.00
_cell_angle_gamma 90.00
_space_group_name_H-M_alt 'P 1'
_space_group_IT_number 1
loop_
_space_group_symop_operation_xyz
'x,y,z'
loop_
_atom_site_label
_atom_site_fract_x
_atom_site_fract_y
_atom_site_fract_z
Cr1 0.000 0.000 0.000
Ga1 0.000 0.500 0.500
Ga2 0.500 0.000 0.500
Ga3 0.500 0.500 0.000
Br1 0.500 0.500 0.500
```